# 1
This record from Alexandria describes LaScCu2Re after structural relaxation. The functional is PBE.

```
data_LaScCu2Re
_cell_length_a 4.7163
_cell_length_b 4.7163
_cell_length_c 5.1594
_cell_angle_alpha 90.00
_cell_angle_beta 90.00
_cell_angle_gamma 90.00
_symmetry_space_group_name_H-M 'P 4/m m m'
_symmetry_Int_Tables_number 123
_symmetry_space_group_name_Hall '-P 4 2'
loop_
_atom_site_label
_atom_site_type_symbol
_atom_site_fract_x
_atom_site_fract_y
_atom_site_fract_z
_atom_site_occupancy
La1 La 0.0000 0.0000 0.0000 1
Sc1 Sc 0.0000 0.0000 0.5000 1
Cu1 Cu 0.0000 0.5000 0.0000 1
Re1 Re 0.5000 0.5000 0.5000 1
```

Summary:
Energy of formation from the pure elements in eV/atom: 2.08
Uncorrected energy in eV/cell: -21.5
D(E_F) in states/eV per cell: 5.7
Calculated volume in Å³/atom: 23.0

***

# 2
This record from Alexandria describes LaTe3Rh after structural relaxation. The functional is PBE.

```
data_LaTe3Rh
_cell_length_a 6.0915
_cell_length_b 6.0915
_cell_length_c 6.0915
_cell_angle_alpha 90.00
_cell_angle_beta 90.00
_cell_angle_gamma 90.00
_symmetry_space_group_name_H-M 'P m -3 m'
_symmetry_Int_Tables_number 221
_symmetry_space_group_name_Hall '-P 4 2 3'
loop_
_atom_site_label
_atom_site_type_symbol
_atom_site_fract_x
_atom_site_fract_y
_atom_site_fract_z
_atom_site_occupancy
La1 La 0.0000 0.0000 0.0000 1
Te1 Te 0.0000 0.0000 0.5000 1
Rh1 Rh 0.5000 0.5000 0.5000 1
```

Summary:
Uncorrected energy in eV/cell: -18.7
D(E_F) in states/eV per cell: 9.6
ΔE_f (raw) in eV/atom: 0.59
Polymorph energy (0 for the lowest one) in meV per atom: 1171
Calculated volume in Å³/atom: 45.2

***

# 3
This record from Alexandria describes Th4P2SeS after structural relaxation. The functional is PBE.

```
data_Th4P2SeS
_cell_length_a 7.1417
_cell_length_b 4.1581
_cell_length_c 7.1566
_cell_angle_alpha 90.00
_cell_angle_beta 109.66
_cell_angle_gamma 90.00
_symmetry_space_group_name_H-M 'P 1 2/m 1'
_symmetry_Int_Tables_number 10
loop_
_symmetry_equiv_pos_as_xyz
'x,y,z'
'-x,-y,-z'
'-x,y,-z'
'x,-y,z'
loop_
_atom_site_label
_atom_site_type_symbol
_atom_site_fract_x
_atom_site_fract_y
_atom_site_fract_z
_atom_site_occupancy
Th1 Th 0.2369 0.0000 0.2397 1
Th2 Th 0.2411 0.5000 0.7530 1
P1 P 0.0000 0.0000 0.5000 1
P2 P 0.0000 0.5000 0.0000 1
Se1 Se 0.5000 0.5000 0.5000 1
S1 S 0.5000 0.0000 0.0000 1
```

Summary:
Uncorrected energy in eV/cell: -61.4
D(E_F) in states/eV per cell: 4.9
ΔE_f (raw) in eV/atom: -1.66
Calculated volume in Å³/atom: 25.0

***

# 4
This record from Alexandria describes SrSiSe2N after structural relaxation. The functional is PBE.

```
data_SrSiSe2N
_cell_length_a 5.7712
_cell_length_b 5.7712
_cell_length_c 4.7360
_cell_angle_alpha 90.00
_cell_angle_beta 90.00
_cell_angle_gamma 90.00
_symmetry_space_group_name_H-M 'P 4/m m m'
_symmetry_Int_Tables_number 123
_symmetry_space_group_name_Hall '-P 4 2'
loop_
_atom_site_label
_atom_site_type_symbol
_atom_site_fract_x
_atom_site_fract_y
_atom_site_fract_z
_atom_site_occupancy
Sr1 Sr 0.0000 0.0000 0.0000 1
Si1 Si 0.5000 0.5000 0.5000 1
Se1 Se 0.0000 0.5000 0.0000 1
N1 N 0.0000 0.0000 0.5000 1
```

Summary:
Uncorrected energy in eV/cell: -17.1
D(E_F) in states/eV per cell: 4.7
ΔE_f (raw) in eV/atom: 1.05
Polymorph energy (0 for the lowest one) in meV per atom: 1607
Calculated volume in Å³/atom: 31.5

***

> Among the records above, which one has the highest uncorrected energy?

SrSiSe2N